Below is YHo3C2Se2 after structural relaxation, with properties calculated at the GGA-PBE level.

## Properties
As for the total energy: -54.91 eV for the cell shown. The magnetic moment is 0.003 μB/f.u. Its volume is 160.8 Å³/cell. The mass density is 7.905 Mg/m³.

a b c (Å): 3.7459 3.7459 13.2344
angles (deg): 90.00 90.00 120.00
Sites, in units of the cell vectors:
Ho1 0.3333 0.6667 0.5999
Ho2 0.0000 0.0000 0.4001
Ho3 0.3333 0.6667 0.8999
Y1 0.0000 0.0000 0.1001
C1 0.6667 0.3333 0.9997
C2 0.6667 0.3333 0.5000
Se1 0.3333 0.6667 0.2502
Se2 0.0000 0.0000 0.7500